# 1
RbAsPtBr2: relaxed, PBE.

The total energy comes out at -17.312 eV per formula unit. For the density of states at the Fermi level, the calculation gives 0.55 states/eV per atom. For the formation energy (no corrections), the calculation gives -0.462 eV per atom. For the total magnetization, the calculation gives 0.41 μB/cell. The energy above the most stable polymorph in this dataset comes out at 0.0000 eV/atom.

The structure belongs to space group P4/mmm (No. 123); the cell edges are 5.684, 5.684 and 4.683 Å and the angles 90.00°, 90.00° and 90.00°. The inequivalent atoms are Rb at (0.000, 0.000, 0.000), As at (0.500, 0.500, 0.000), Pt at (0.500, 0.500, 0.500) and Br at (0.000, 0.500, 0.500).

# 2
RbAsPt2Br: relaxed, PBE.

The total energy comes out at -15.111 eV per formula unit. For the density of states at the Fermi level, the calculation gives 0.64 states/eV per atom. For the formation energy (no corrections), the calculation gives 0.852 eV per atom. For the total magnetization, the calculation gives 1.20 μB/cell.

The structure belongs to space group P4/mmm (No. 123); the cell edges are 4.887, 4.887 and 5.960 Å and the angles 90.00°, 90.00° and 90.00°. The inequivalent atoms are Rb at (0.000, 0.000, 0.000), As at (0.500, 0.500, 0.000), Pt at (0.000, 0.500, 0.500) and Br at (0.000, 0.000, 0.500).

# 3
RbAs2PtBr: relaxed, PBE.

The total energy comes out at -19.079 eV per formula unit. For the density of states at the Fermi level, the calculation gives 0.42 states/eV per atom. For the formation energy (no corrections), the calculation gives -0.220 eV per atom. For the total magnetization, the calculation gives 0.00 μB/cell. The energy above the most stable polymorph in this dataset comes out at 0.0000 eV/atom.

The structure belongs to space group P4/mmm (No. 123); the cell edges are 4.739, 4.739 and 9.191 Å and the angles 90.00°, 90.00° and 90.00°. The inequivalent atoms are Rb at (0.000, 0.000, 0.000), As at (0.000, 0.500, 0.500), Pt at (0.500, 0.500, 0.500) and Br at (0.500, 0.500, 0.000).

# 4
RbAsPtBr2: relaxed, PBE.

The total energy comes out at -9.291 eV per formula unit. For the density of states at the Fermi level, the calculation gives 1.37 states/eV per atom. For the formation energy (no corrections), the calculation gives 1.142 eV per atom. For the total magnetization, the calculation gives 2.82 μB/cell. The energy above the most stable polymorph in this dataset comes out at 1.6041 eV/atom.

The structure belongs to space group P4/mmm (No. 123); the cell edges are 6.301, 6.301 and 6.786 Å and the angles 90.00°, 90.00° and 90.00°. The inequivalent atoms are Rb at (0.000, 0.000, 0.000), As at (0.000, 0.000, 0.500), Pt at (0.500, 0.500, 0.500) and Br at (0.000, 0.500, 0.000).